[1]
5
Lattice="4.8463 0.0000 0.0000 0.0000 4.8463 0.0000 0.0000 0.0000 4.8463" Properties=species:S:1:pos:R:3 comment="GeIrSe3 | the Alexandria database | PBEsol | optimized geometry" dos_ef_per_ev_atom=1.2079 formation_energy_uncorrected_ev_per_atom=0.551 pbc="T T T"
Ge 0.0000 0.0000 0.0000
Ir 2.4231 2.4231 2.4231
Se 0.0000 2.4231 2.4231
Se 2.4231 0.0000 2.4231
Se 2.4231 2.4231 0.0000


[2]
32
Lattice="6.0470 3.4912 4.9628 -6.0470 3.4912 4.9628 0.0000 -6.9825 4.9628" Properties=species:S:1:pos:R:3 comment="Ge3Ir2Se3 | the Alexandria database | PBEsol | optimized geometry" formation_energy_uncorrected_ev_per_atom=-0.493 pbc="T T T"
Ge -4.0239 1.2765 4.0724
Ge 0.9065 -4.1231 4.0724
Ge -1.0979 -1.7004 5.0507
Ge -3.1174 -2.8466 10.8159
Ge -0.9236 1.8010 5.0507
Ge -2.0216 0.1006 9.8376
Ge 2.0216 -0.1006 5.0507
Ge 0.9236 -1.8010 9.8376
Ge 3.1174 2.8466 4.0724
Ge 1.0979 1.7004 9.8377
Ge -0.9065 4.1231 10.8159
Ge 4.0239 -1.2765 10.8159
Ir -0.0264 -3.4993 6.2033
Ir -3.0437 -1.7268 8.6850
Ir 0.0000 0.0000 3.7457
Ir -3.0173 1.7725 6.2033
Ir 3.0173 -1.7725 8.6850
Ir 0.0000 0.0000 11.1427
Ir 3.0437 1.7268 6.2033
Ir 0.0264 3.4993 8.6850
Se -2.1215 0.2464 2.4692
Se 0.8474 -1.9605 2.4692
Se -2.9987 -0.7338 6.4036
Se 1.2741 1.7141 2.4692
Se -0.8639 -2.9639 8.4847
Se 2.1348 -2.2301 6.4036
Se -2.1348 2.2301 8.4847
Se 0.8639 2.9639 6.4036
Se -1.2741 -1.7141 12.4191
Se 2.9987 0.7338 8.4848
Se -0.8474 1.9605 12.4191
Se 2.1215 -0.2464 12.4191


[3]
5
Lattice="4.5731 0.0000 0.0000 0.0000 4.5731 0.0000 0.0000 0.0000 5.6835" Properties=species:S:1:pos:R:3 comment="YGe2IrSe | the Alexandria database | PBEsol | optimized geometry" dos_ef_per_ev_atom=0.3733 formation_energy_uncorrected_ev_per_atom=-0.472 pbc="T T T"
Y 0.0000 0.0000 0.0000
Ge 0.0000 2.2866 2.8418
Ge 2.2866 0.0000 2.8418
Ir 0.0000 0.0000 2.8418
Se 2.2866 2.2866 0.0000